A plane-wave DFT calculation with PBE was carried out for a relaxed Ac3Cd2Ni crystal.

abc: 9.037 9.037 4.091
angles: 90.07 90.07 36.07
Fractional positions:
Ac1 0.000 0.000 0.000
Ac2 0.368 0.368 0.500
Ac3 0.632 0.632 0.500
Cd1 0.201 0.201 0.999
Cd2 0.799 0.799 0.001
Ni1 0.500 0.500 0.000

Calculated values
ΔE_f = -221.8 meV/atom
Mass density = 8.14 g cm⁻³
Symmetry = C2/m, No. 12
Calculated total energy = -3.545 eV per atom